[1]
A geometry-optimized ScIrAu2 structure, computed with PBE.

calculated total energy: -23.7 eV/cell
space-group type: I-4m2, No. 119
E_form: -500 meV/atom

a = 5.013 Å, b = 5.013 Å, c = 5.013 Å
α = 131.63°, β = 131.67°, γ = 70.78°
Fractional coordinates of all 4 atoms:
1 Au 0.000 0.000 0.000
2 Au 0.250 0.750 0.500
3 Ir 0.500 0.500 0.000
4 Sc 0.750 0.250 0.500



[2]
A geometry-optimized ScIrAu structure, computed with PBE.

calculated total energy: -19.3 eV/cell
space-group type: P3m1, No. 156
E_form: -286 meV/atom

a = 3.125 Å, b = 3.125 Å, c = 6.444 Å
α = 90.00°, β = 90.00°, γ = 120.00°
Fractional coordinates of all 3 atoms:
1 Au 0.000 0.000 0.993
2 Ir 0.667 0.333 0.355
3 Sc 0.333 0.667 0.652



[3]
A geometry-optimized ScIrAu2 structure, computed with PBE.

calculated total energy: -22.8 eV/cell
space-group type: C2/m, No. 12
E_form: -266 meV/atom

a = 4.570 Å, b = 5.666 Å, c = 3.163 Å
α = 74.84°, β = 87.49°, γ = 113.02°
Fractional coordinates of all 4 atoms:
1 Au 0.000 0.000 0.000
2 Au 0.500 0.000 0.500
3 Ir 0.000 0.500 0.500
4 Sc 0.500 0.500 0.000



[4]
A geometry-optimized Sc6Ir5Au structure, computed with PBE.

calculated total energy: -97.1 eV/cell
space-group type: Cmmm, No. 65
E_form: -964 meV/atom

a = 4.512 Å, b = 6.802 Å, c = 7.129 Å
α = 90.00°, β = 71.55°, γ = 90.00°
Fractional coordinates of all 12 atoms:
1 Sc 0.830 0.747 0.340
2 Sc 0.830 0.253 0.340
3 Sc 0.500 0.259 0.000
4 Sc 0.500 0.741 0.000
5 Sc 0.170 0.747 0.660
6 Sc 0.170 0.253 0.660
7 Ir 0.666 0.500 0.667
8 Ir 0.334 0.000 0.333
9 Ir 0.000 0.500 0.000
10 Ir 0.666 0.000 0.667
11 Ir 0.334 0.500 0.333
12 Au 0.000 0.000 0.000



[5]
A geometry-optimized Sc3IrAu structure, computed with PBE.

calculated total energy: -32.7 eV/cell
space-group type: Pm-3m, No. 221
E_form: -317 meV/atom

a = 4.991 Å, b = 4.991 Å, c = 4.991 Å
α = 90.00°, β = 90.00°, γ = 90.00°
Fractional coordinates of all 5 atoms:
1 Sc 0.000 0.500 0.000
2 Sc 0.000 0.000 0.500
3 Sc 0.500 0.000 0.000
4 Ir 0.000 0.000 0.000
5 Au 0.500 0.500 0.500



[6]
A geometry-optimized Sc5IrAu2 structure, computed with PBE.

calculated total energy: -105.9 eV/cell
space-group type: Pbam, No. 55
E_form: -737 meV/atom

a = 4.643 Å, b = 6.311 Å, c = 11.155 Å
α = 90.00°, β = 90.00°, γ = 90.00°
Fractional coordinates of all 16 atoms:
1 Sc 0.000 0.000 0.500
2 Sc 0.000 0.500 0.000
3 Sc 0.000 0.854 0.216
4 Sc 0.000 0.146 0.784
5 Sc 0.000 0.646 0.716
6 Sc 0.000 0.354 0.284
7 Sc 0.500 0.669 0.403
8 Sc 0.500 0.331 0.597
9 Sc 0.500 0.831 0.903
10 Sc 0.500 0.169 0.097
11 Ir 0.000 0.500 0.500
12 Ir 0.000 0.000 0.000
13 Au 0.500 0.593 0.151
14 Au 0.500 0.407 0.849
15 Au 0.500 0.907 0.651
16 Au 0.500 0.093 0.349



[7]
A geometry-optimized ScIrAu structure, computed with PBE.

calculated total energy: -20.1 eV/cell
space-group type: Imm2, No. 44
E_form: -536 meV/atom

a = 5.164 Å, b = 5.164 Å, c = 5.164 Å
α = 145.05°, β = 137.80°, γ = 55.91°
Fractional coordinates of all 3 atoms:
1 Au 0.000 0.000 0.000
2 Ir 0.678 0.678 0.000
3 Sc 0.322 0.322 0.000



[8]
A geometry-optimized ScIrAu structure, computed with PBE.

calculated total energy: -20.0 eV/cell
space-group type: I4mm, No. 107
E_form: -500 meV/atom

a = 6.117 Å, b = 6.117 Å, c = 3.041 Å
α = 75.62°, β = 75.60°, γ = 28.78°
Fractional coordinates of all 3 atoms:
1 Au 0.998 0.998 0.002
2 Ir 0.323 0.323 0.677
3 Sc 0.679 0.679 0.321